ReTcPb: relaxed, PBE-GGA.

a b c (Å): 5.2499 5.2499 5.2499
angles (deg): 146.72 137.40 55.11
Atoms (fractional coordinates):
Re  0.0000  0.0000  0.0000
Tc  0.6262  0.6262  0.0000
Pb  0.3130  0.3130  0.0000

## Properties
* D(E_F): 2.59 states/eV/cell
* energy of formation: 0.775 eV/atom
* spin magnetization: 0.00 Bohr magnetons per cell
* final energy: -24.20 eV for the cell shown
* energy relative to the lowest polymorph listed for this composition: 0.79 eV/f.u.